Record 1
First-principles (PBE) data for a relaxed TiCu2Ni5 crystal, as listed in the Alexandria database.

Summary:
E_tot: -45.00 eV per formula unit
formation energy: -1 meV/atom
E above lowest polymorph: 213 meV per atom

a b c (Å): 6.619 6.619 6.619
angles (deg): 123.84 123.84 83.47
Element x y z (fractional)
Ti 0.250 0.250 0.000
Ti 0.750 0.750 0.000
Cu 0.147 0.647 0.793
Cu 0.353 0.147 0.500
Cu 0.647 0.853 0.500
Cu 0.853 0.353 0.207
Ni 0.000 0.000 0.000
Ni 0.020 0.811 0.500
Ni 0.189 0.689 0.209
Ni 0.311 0.520 0.500
Ni 0.480 0.980 0.791
Ni 0.500 0.500 0.000
Ni 0.520 0.020 0.209
Ni 0.689 0.480 0.500
Ni 0.811 0.311 0.791
Ni 0.980 0.189 0.500

---

Record 2
First-principles (PBE) data for a relaxed Ac2PrSe2S2 crystal, as listed in the Alexandria database.

Summary:
E_form (uncorrected): -1149 kJ/mol of formula units
E_tot: -40.12 eV per formula unit

a b c (Å): 8.723 8.723 8.723
angles (deg): 144.60 144.60 50.94
Element x y z (fractional)
Ac 0.126 0.126 0.000
Ac 0.874 0.874 0.000
Pr 0.500 0.500 0.000
Se 0.314 0.314 0.000
Se 0.686 0.686 0.000
S 0.000 0.500 0.500
S 0.500 0.000 0.500